A plane-wave DFT calculation with meta-GGA SCAN was carried out for GaPt3Cl at its PBEsol-relaxed geometry.

Lattice parameters (Å, degrees): 4.621 4.621 4.621 90.00 90.00 90.00
Element x y z (fractional)
Ga  0.000  0.000  0.000
Pt  0.000  0.000  0.500
Pt  0.000  0.500  0.000
Pt  0.500  0.000  0.000
Cl  0.500  0.500  0.500

Values from the calculation:
As for the total moment: 0.00 μB per cell. The energy relative to the elements, uncorrected comes out at 0.894 eV/atom.